{"formula": "Cs2Fe3F8", "functional": "GGA+U", "state": "relaxed", "cell": [[5.336, 0.034, -1.766], [-0.952, 6.079, -2.759], [0.192, -0.218, 7.694]], "species": ["Fe", "F", "F", "F", "F", "Fe", "Cs", "Cs", "F", "F", "F", "F", "Fe"], "fractional_positions": [[0.000, 0.742, 0.000], [0.102, 0.918, 0.835], [0.373, 0.294, 0.158], [0.999, 0.403, 0.806], [0.001, 0.597, 0.194], [0.500, 0.000, 0.000], [0.318, 0.279, 0.557], [0.682, 0.721, 0.443], [0.373, 0.863, 0.158], [0.627, 0.706, 0.842], [0.627, 0.137, 0.842], [0.898, 0.082, 0.165], [0.000, 0.258, 0.000]], "final_energy_ev_per_atom": -5.150, "spacegroup": "No. 12", "n_ef_per_ev_atom": 0.000}